The following is a DFT calculation (PBE-GGA) of a relaxed RuBrF crystal.

a b c (Å): 3.6525 4.8441 7.3566
angles (deg): 108.65 98.68 93.92
Closest atoms and distances in Å follow each position.
Space group P-1 (No. 2)
One atom of each set of equivalent atoms:
Ru 0.2235 0.3913 0.0596 x2  1 F 1.93
Br 0.1278 0.9321 0.7801 x2  2 Ru 2.46-2.62
F 0.4144 0.6503 0.3220 x2  1 Ru 1.93

## Properties
ΔE_f (raw): -0.6079 eV/atom